(1)
The following is a PBE-GGA calculation of an optimized crystal structure of SiBr2Cl, from the Alexandria database.

Raw formation energy   361 meV/atom
Energy relative to the lowest polymorph listed for this composition   3.351 eV per formula unit
Uncorrected energy   -36.7 eV/cell

Cell lengths 7.112, 7.112, 7.112 Å; angles 90.00, 90.00, 90.00 degrees
Space group Fm-3m (No. 225)
Inequivalent atoms, fractional coordinates:
1 Si 0.000 0.000 0.000 x4
2 Br 0.250 0.250 0.250 x8
3 Cl 0.000 0.000 0.500 x4

***

(2)
The following is a PBE-GGA calculation of an optimized crystal structure of Ta4Nb5Mo2, from the Alexandria database.

Energy relative to the lowest polymorph listed for this composition   0.000 eV per formula unit
Uncorrected energy   -116.5 eV/cell

Cell lengths 7.333, 3.000, 9.444 Å; angles 90.00, 101.18, 90.00 degrees
Space group P2/m (No. 10)
Inequivalent atoms, fractional coordinates:
1 Ta 0.146 0.000 0.373 x2
2 Ta 0.264 0.000 0.909 x2
3 Nb 0.197 0.500 0.637 x2
4 Nb 0.430 0.500 0.179 x2
5 Nb 0.500 0.500 0.500 x1
6 Mo 0.070 0.500 0.127 x2

***

(3)
The following is a PBE-GGA calculation of an optimized crystal structure of MnFeAs, from the Alexandria database.

Uncorrected energy   -44.6 eV/cell

Cell lengths 3.215, 3.215, 7.742 Å; angles 90.00, 90.00, 90.00 degrees
Space group I4mm (No. 107)
Inequivalent atoms, fractional coordinates:
1 Mn 0.000 0.000 0.000 x2
2 Fe 0.000 0.000 0.332 x2
3 As 0.000 0.000 0.667 x2

***

(4)
The following is a PBE-GGA calculation of an optimized crystal structure of MgCo2MoRu, from the Alexandria database.

Uncorrected energy   -26.8 eV/cell

Cell lengths 4.107, 4.107, 4.621 Å; angles 90.00, 90.00, 90.00 degrees
Space group P4/mmm (No. 123)
Inequivalent atoms, fractional coordinates:
1 Mg 0.000 0.000 0.000 x1
2 Co 0.000 0.500 0.000 x2
3 Mo 0.000 0.000 0.500 x1
4 Ru 0.500 0.500 0.500 x1